The following is a DFT calculation (PBE) of an optimized crystal structure of VTcPt2.

Unit cell a=4.4274 b=4.4274 c=4.4274 alpha=60.00 beta=60.00 gamma=60.00
Fractional positions:
V: 0.0000 0.0000 0.0000
Tc: 0.5000 0.5000 0.5000
Pt: 0.2500 0.2500 0.2500
Pt: 0.7500 0.7500 0.7500

Calculated values
offset from the most stable computed form	0	meV per atom
SG	Fm-3m
formation enthalpy at 0 K	0.0698	eV/atom

***

The following is a DFT calculation (PBE) of an optimized crystal structure of Sr5Cr.

Unit cell a=7.5343 b=7.5343 c=6.9265 alpha=90.00 beta=90.00 gamma=120.00
Fractional positions:
Sr: 0.0000 0.5000 0.0000
Sr: 0.3333 0.6667 0.5000
Sr: 0.5000 0.0000 0.0000
Sr: 0.5000 0.5000 0.0000
Sr: 0.6667 0.3333 0.5000
Cr: 0.0000 0.0000 0.5000

Calculated values
offset from the most stable computed form	397	meV per atom
SG	P6/mmm
formation enthalpy at 0 K	0.7225	eV/atom